Entry 1:
Compound: ThZnAg3
Source: Alexandria
Functional: PBE
Structure: optimized geometry

The value obtained for the formation energy is -0.025 eV/atom. For the total energy, the calculation gives -3.474 eV/atom. Its distance to the lowest polymorph of the same formula is 73 meV/atom. Its density of states at the Fermi level is 6.2 states/eV per cell. The magnetization is 0.00 μB per formula unit.

The structure in extended XYZ format:
```
10
Lattice="2.3672 -13.3764 0.0000 2.3672 13.3764 0.0000 0.0000 0.0000 3.3822" Properties=species:S:1:pos:R:3 pbc="T T T"
Th 2.3672 8.8710 0.0000
Th 2.3672 -8.8710 0.0000
Zn 2.3672 3.2810 1.6911
Zn 2.3672 -3.2810 1.6911
Ag 2.3672 11.8347 1.6911
Ag 2.3672 5.9691 1.6911
Ag 2.3672 1.3391 0.0000
Ag 2.3672 -1.3391 0.0000
Ag 2.3672 -5.9691 1.6911
Ag 2.3672 -11.8347 1.6911
```

---

Entry 2:
Compound: ThZn2Ag6
Source: Alexandria
Functional: PBE
Structure: optimized geometry

The value obtained for the formation energy is 0.084 eV/atom. For the total energy, the calculation gives -2.924 eV/atom. Its density of states at the Fermi level is 3.6 states/eV per cell. The magnetization is 0.28 μB per formula unit.

The structure in extended XYZ format:
```
9
Lattice="6.9482 -4.2089 0.0000 6.9482 4.2089 0.0000 -0.6777 0.0000 3.0858" Properties=species:S:1:pos:R:3 pbc="T T T"
Th 0.0000 0.0000 0.0000
Zn 4.3364 0.0000 2.6534
Zn 8.8823 0.0000 0.4323
Ag 2.0322 1.4369 2.1020
Ag 6.6093 1.3652 1.5429
Ag 2.0322 -1.4369 2.1020
Ag 11.1865 1.4369 0.9838
Ag 6.6093 -1.3652 1.5429
Ag 11.1865 -1.4369 0.9838
```

---

Entry 3:
Compound: Th2Zn5Ag5
Source: Alexandria
Functional: PBE
Structure: optimized geometry

The value obtained for the formation energy is -0.161 eV/atom. For the total energy, the calculation gives -3.117 eV/atom. Its density of states at the Fermi level is 6.0 states/eV per cell. The magnetization is 0.00 μB per formula unit.

The structure in extended XYZ format:
```
12
Lattice="4.5164 0.0000 0.0000 0.0000 5.3992 0.0000 0.0000 0.0000 9.5783" Properties=species:S:1:pos:R:3 pbc="T T T"
Th 0.0000 0.0000 0.0000
Th 0.0000 2.6996 4.7892
Zn 2.2582 0.0000 4.7892
Zn 2.2582 1.3405 2.4151
Zn 2.2582 1.3405 7.1632
Zn 2.2582 4.0587 2.4151
Zn 2.2582 4.0587 7.1632
Ag 0.0000 0.0000 3.1892
Ag 0.0000 0.0000 6.3892
Ag 0.0000 2.6996 1.6839
Ag 0.0000 2.6996 7.8945
Ag 2.2582 2.6996 0.0000
```

---

Entry 4:
Compound: Th3Zn3Ag2
Source: Alexandria
Functional: PBE
Structure: optimized geometry

The value obtained for the formation energy is -0.179 eV/atom. For the total energy, the calculation gives -4.152 eV/atom. Its density of states at the Fermi level is 15.4 states/eV per cell. The magnetization is 0.00 μB per formula unit.

The structure in extended XYZ format:
```
16
Lattice="2.2924 -5.5629 0.0000 2.2924 5.5629 0.0000 0.0000 0.0000 14.4213" Properties=species:S:1:pos:R:3 pbc="T T T"
Th 2.2924 4.6792 8.9121
Th 2.2924 4.6792 12.7198
Th 2.2924 1.5847 10.8160
Th 2.2924 -1.5847 3.6053
Th 2.2924 -4.6792 1.7015
Th 2.2924 -4.6792 5.5092
Zn 2.2924 1.7391 3.6053
Zn 2.2924 1.1620 7.7577
Zn 2.2924 1.1620 13.8743
Zn 2.2924 -1.1620 0.5470
Zn 2.2924 -1.1620 6.6636
Zn 2.2924 -1.7391 10.8160
Ag 2.2924 3.1989 1.2764
Ag 2.2924 3.1989 5.9343
Ag 2.2924 -3.1989 8.4870
Ag 2.2924 -3.1989 13.1449
```

---

Entry 5:
Compound: ThZn10Ag
Source: Alexandria
Functional: PBE
Structure: optimized geometry

The value obtained for the formation energy is -0.084 eV/atom. For the total energy, the calculation gives -2.001 eV/atom. Its density of states at the Fermi level is 4.0 states/eV per cell. The magnetization is 0.00 μB per formula unit.

The structure in extended XYZ format:
```
12
Lattice="4.3329 0.0000 0.0000 0.0000 5.1268 0.0000 0.0000 0.0000 9.3292" Properties=species:S:1:pos:R:3 pbc="T T T"
Th 0.0000 0.0000 0.0000
Zn 0.0000 0.0000 3.2606
Zn 0.0000 0.0000 6.0687
Zn 0.0000 2.5634 1.9046
Zn 0.0000 2.5634 7.4246
Zn 2.1665 0.0000 4.6646
Zn 2.1665 1.2375 2.2324
Zn 2.1665 1.2375 7.0968
Zn 2.1665 2.5634 0.0000
Zn 2.1665 3.8892 2.2324
Zn 2.1665 3.8892 7.0968
Ag 0.0000 2.5634 4.6646
```

---

Entry 6:
Compound: ThZn3Ag10
Source: Alexandria
Functional: PBE
Structure: optimized geometry

The value obtained for the formation energy is 0.120 eV/atom. For the total energy, the calculation gives -2.720 eV/atom. Its density of states at the Fermi level is 18.9 states/eV per cell. The magnetization is 0.00 μB per formula unit.

The structure in extended XYZ format:
```
28
Lattice="0.0000 6.5195 6.5195 6.5195 0.0000 6.5195 6.5195 6.5195 0.0000" Properties=species:S:1:pos:R:3 pbc="T T T"
Th 3.2597 3.2597 3.2597
Th 9.7792 9.7792 9.7792
Zn 6.5195 6.5195 3.0656
Zn 6.5195 3.0656 6.5195
Zn 9.9734 6.5195 6.5195
Zn 3.0656 6.5195 6.5195
Zn 6.5195 9.9734 6.5195
Zn 6.5195 6.5195 9.9734
Ag 1.5084 1.5084 1.5084
Ag 5.0110 5.0110 1.5084
Ag 5.0110 1.5084 5.0110
Ag 6.5195 4.2476 4.2476
Ag 8.7914 6.5195 4.2476
Ag 8.7914 4.2476 6.5195
Ag 11.5305 8.0279 8.0279
Ag 4.2476 6.5195 4.2476
Ag 6.5195 8.7914 4.2476
Ag 4.2476 4.2476 6.5195
Ag 8.7914 8.7914 6.5195
Ag 6.5195 4.2476 8.7914
Ag 8.7914 6.5195 8.7914
Ag 1.5084 5.0110 5.0110
Ag 4.2476 8.7914 6.5195
Ag 4.2476 6.5195 8.7914
Ag 6.5195 8.7914 8.7914
Ag 8.0279 11.5305 8.0279
Ag 8.0279 8.0279 11.5305
Ag 11.5305 11.5305 11.5305
```

---

Entry 7:
Compound: Th3Zn2Ag4
Source: Alexandria
Functional: PBE
Structure: optimized geometry

The value obtained for the formation energy is -0.194 eV/atom. For the total energy, the calculation gives -4.217 eV/atom. Its density of states at the Fermi level is 6.9 states/eV per cell. The magnetization is 0.00 μB per formula unit.

The structure in extended XYZ format:
```
9
Lattice="5.3774 -2.4049 0.0000 5.3774 2.4049 0.0000 -4.3112 0.0000 7.8917" Properties=species:S:1:pos:R:3 pbc="T T T"
Th 0.0000 0.0000 0.0000
Th 2.1715 0.0000 2.6313
Th 4.2720 0.0000 5.2603
Zn 1.0601 0.0000 5.6714
Zn 5.3835 0.0000 2.2202
Ag -1.0097 0.0000 3.0842
Ag -1.0178 0.0000 7.4387
Ag 7.4613 0.0000 0.4529
Ag 7.4533 0.0000 4.8075
```

---

Entry 8:
Compound: ThZn2Ag
Source: Alexandria
Functional: PBE
Structure: optimized geometry

The value obtained for the formation energy is 0.014 eV/atom. For the total energy, the calculation gives -3.191 eV/atom. Its density of states at the Fermi level is 4.1 states/eV per cell. The magnetization is 0.00 μB per formula unit.

The structure in extended XYZ format:
```
4
Lattice="4.3752 0.0000 0.0000 0.0000 4.3752 0.0000 0.0000 0.0000 4.6224" Properties=species:S:1:pos:R:3 pbc="T T T"
Th 0.0000 0.0000 0.0000
Zn 0.0000 2.1876 2.3112
Zn 2.1876 0.0000 2.3112
Ag 2.1876 2.1876 0.0000
```